VASP calculation (GGA-PBE) on an optimized crystal structure of LiYP.

- calculated formation energy (eV/f.u.) = -3.0
- V (Å³/cell) = 54.59
- density of states at the Fermi level (states/eV/f.u.) = 1.9

Cell and atoms, written as CIF:
```
data_LiYP
_chemical_formula_sum 'Li1 Y1 P1'
_cell_length_a 4.0298
_cell_length_b 4.0298
_cell_length_c 3.8819
_cell_angle_alpha 90.00
_cell_angle_beta 90.00
_cell_angle_gamma 120.00
_symmetry_space_group_name_H-M 'P -6 m 2'
_symmetry_Int_Tables_number 187
_symmetry_space_group_name_Hall 'P -6 2'
loop_
_atom_site_label
_atom_site_fract_x
_atom_site_fract_y
_atom_site_fract_z
_atom_site_occupancy
Li1 0.0000 0.0000 0.0000 1
Y1 0.3333 0.6667 0.5000 1
P1 0.6667 0.3333 0.0000 1
```